! La2ThFe9 PBE optimized geometry; values from VASP
&SYSTEM
  ibrav = 0, nat = 12, ntyp = 3
/
ATOMIC_SPECIES
La 138.91 La.upf
Th 232.04 Th.upf
Fe 55.84 Fe.upf
CELL_PARAMETERS angstrom
2.581 1.490 8.409
-2.581 1.490 8.409
0.000 -2.980 8.409
ATOMIC_POSITIONS crystal
La 0.142 0.142 0.142
La 0.858 0.858 0.858
Th 0.000 0.000 0.000
Fe 0.084 0.578 0.578
Fe 0.333 0.333 0.333
Fe 0.422 0.422 0.916
Fe 0.422 0.916 0.422
Fe 0.500 0.500 0.500
Fe 0.578 0.084 0.578
Fe 0.578 0.578 0.084
Fe 0.667 0.667 0.667
Fe 0.916 0.422 0.422
! Energy relative to the elements in eV per atom: 0.03
! Density of states at the Fermi level in states/eV/cell: 12.08
! Space-group type: R-3m